# 1
Entry from Alexandria: a crystal of BiAs2BrO relaxed with PBEsol (SCAN).

magnetic moment = 4.79 μB/cell
space group = No. 123
formation energy (no corrections) = 1.162 eV/atom

```
5
Lattice="-5.408 -1.068 0.193 1.065 -5.031 1.995 -0.216 2.045 5.272" Properties=species:S:1:pos:R:3 pbc="T T T"
O -2.280 -2.027 3.730
As 0.532 -2.516 0.997
As -2.704 -0.534 0.096
Bi 0.000 0.000 0.000
Br -0.108 1.022 2.636
```



# 2
Entry from Alexandria: a crystal of BiAs2OsBr relaxed with PBEsol (SCAN).

magnetic moment = 0.00 μB/cell
space group = No. 123
formation energy (no corrections) = 0.589 eV/atom

```
5
Lattice="4.708 0.000 0.000 0.000 4.708 0.000 0.000 0.000 5.293" Properties=species:S:1:pos:R:3 pbc="T T T"
As 0.000 2.354 0.000
As 2.354 0.000 0.000
Os 0.000 0.000 0.000
Bi 2.354 2.354 2.646
Br 0.000 0.000 2.646
```



# 3
Entry from Alexandria: a crystal of BiAs2SBr relaxed with PBEsol (SCAN).

magnetic moment = 1.27 μB/cell
space group = No. 123
formation energy (no corrections) = 1.128 eV/atom

```
5
Lattice="-1.995 4.874 1.033 -4.775 -2.279 1.531 1.829 -0.350 5.183" Properties=species:S:1:pos:R:3 pbc="T T T"
S -2.470 1.122 3.874
As 0.915 -0.175 2.592
As -2.387 -1.140 0.766
Bi 0.000 0.000 0.000
Br -0.997 2.437 0.517
```



# 4
Entry from Alexandria: a crystal of BiAsSe2Br relaxed with PBEsol (SCAN).

magnetic moment = 0.00 μB/cell
space group = No. 123
formation energy (no corrections) = 0.225 eV/atom

```
5
Lattice="-1.490 4.185 2.341 0.210 -2.408 4.438 4.821 1.415 0.539" Properties=species:S:1:pos:R:3 pbc="T T T"
As 0.000 0.000 0.000
Se 2.411 0.707 0.270
Se 0.105 -1.204 2.219
Bi 1.771 1.596 3.659
Br -0.745 2.092 1.171
```